(1)
DFT (GGA-PBE) results for Li2Zn2Sb after structural relaxation.

a = 3.8831 Å, b = 3.8831 Å, c = 12.6741 Å
α = 90.00°, β = 90.00°, γ = 90.00°
Atoms (fractional coordinates):
Li  0.0000  0.5000  0.2500
Li  0.0000  0.5000  0.7500
Li  0.5000  0.0000  0.2500
Li  0.5000  0.0000  0.7500
Zn  0.0000  0.0000  0.1023
Zn  0.0000  0.0000  0.8977
Zn  0.5000  0.5000  0.3977
Zn  0.5000  0.5000  0.6023
Sb  0.0000  0.0000  0.5000
Sb  0.5000  0.5000  0.0000

**Total DFT energy (no corrections)**: -2.13 eV/atom
**E above lowest polymorph**: 142 meV per atom
**Raw formation energy**: -0.028 eV/atom
**Total magnetization**: 0.00 μB per formula unit
**Calculated volume**: 19.11 Å³ per atom
**N(E_F)**: 3.483 states/eV/cell



(2)
DFT (GGA-PBE) results for LiZn2Sb2 after structural relaxation.

a = 7.9185 Å, b = 7.9185 Å, c = 3.5449 Å
α = 90.00°, β = 90.00°, γ = 90.00°
Atoms (fractional coordinates):
Li  0.0000  0.0000  0.0000
Li  0.5000  0.5000  0.0000
Zn  0.1260  0.3740  0.5000
Zn  0.3740  0.8740  0.5000
Zn  0.6260  0.1260  0.5000
Zn  0.8740  0.6260  0.5000
Sb  0.1713  0.6713  0.0000
Sb  0.3287  0.1713  0.0000
Sb  0.6713  0.8287  0.0000
Sb  0.8287  0.3287  0.0000

**Total DFT energy (no corrections)**: -2.55 eV/atom
**E above lowest polymorph**: 128 meV per atom
**Raw formation energy**: -0.012 eV/atom
**Total magnetization**: 0.00 μB per formula unit
**Calculated volume**: 22.23 Å³ per atom
**N(E_F)**: 2.964 states/eV/cell



(3)
DFT (GGA-PBE) results for LiZn2Sb2 after structural relaxation.

a = 7.5552 Å, b = 7.5552 Å, c = 3.7562 Å
α = 90.00°, β = 90.00°, γ = 90.00°
Atoms (fractional coordinates):
Li  0.0000  0.0000  0.0000
Li  0.5000  0.5000  0.0000
Zn  0.1210  0.3790  0.0000
Zn  0.3790  0.8790  0.0000
Zn  0.6210  0.1210  0.0000
Zn  0.8790  0.6210  0.0000
Sb  0.1823  0.6823  0.5000
Sb  0.3177  0.1823  0.5000
Sb  0.6823  0.8177  0.5000
Sb  0.8177  0.3177  0.5000

**Total DFT energy (no corrections)**: -2.57 eV/atom
**E above lowest polymorph**: 109 meV per atom
**Raw formation energy**: -0.031 eV/atom
**Total magnetization**: 0.00 μB per formula unit
**Calculated volume**: 21.44 Å³ per atom
**N(E_F)**: 4.172 states/eV/cell



(4)
DFT (GGA-PBE) results for LiZn2Sb2 after structural relaxation.

a = 4.3495 Å, b = 4.4313 Å, c = 6.3491 Å
α = 74.82°, β = 88.27°, γ = 76.42°
Atoms (fractional coordinates):
Li  0.0000  0.0000  0.0000
Zn  0.3580  0.7247  0.4263
Zn  0.9196  0.2559  0.4400
Sb  0.4133  0.3349  0.1487
Sb  0.8540  0.6636  0.7035

**Total DFT energy (no corrections)**: -2.68 eV/atom
**E above lowest polymorph**: 0 meV per atom
**Raw formation energy**: -0.140 eV/atom
**Total magnetization**: 0.00 μB per formula unit
**Calculated volume**: 22.95 Å³ per atom
**N(E_F)**: 1.417 states/eV/cell



(5)
DFT (GGA-PBE) results for LiZr2Sb after structural relaxation.

a = 4.1074 Å, b = 3.6890 Å, c = 11.0115 Å
α = 90.00°, β = 90.00°, γ = 90.00°
Atoms (fractional coordinates):
Li  0.0000  0.0000  0.0000
Li  0.0000  0.5000  0.5000
Zr  0.0000  0.0000  0.7387
Zr  0.0000  0.5000  0.2387
Zr  0.5000  0.0000  0.4102
Zr  0.5000  0.5000  0.9102
Sb  0.5000  0.0000  0.1370
Sb  0.5000  0.5000  0.6370

**Total DFT energy (no corrections)**: -6.14 eV/atom
**Raw formation energy**: -0.353 eV/atom
**Total magnetization**: 0.00 μB per formula unit
**Calculated volume**: 20.86 Å³ per atom
**N(E_F)**: 6.782 states/eV/cell



(6)
DFT (GGA-PBE) results for LiZr2Sb after structural relaxation.

a = 3.8205 Å, b = 5.0993 Å, c = 9.2020 Å
α = 90.00°, β = 90.00°, γ = 90.00°
Atoms (fractional coordinates):
Li  0.0000  0.0000  0.0000
Li  0.5000  0.5000  0.0000
Zr  0.0000  0.5000  0.2577
Zr  0.0000  0.5000  0.7423
Zr  0.5000  0.0000  0.2577
Zr  0.5000  0.0000  0.7423
Sb  0.0000  0.0000  0.5000
Sb  0.5000  0.5000  0.5000

**Total DFT energy (no corrections)**: -5.78 eV/atom
**Raw formation energy**: 0.001 eV/atom
**Total magnetization**: 0.00 μB per formula unit
**Calculated volume**: 22.41 Å³ per atom
**N(E_F)**: 7.809 states/eV/cell



(7)
DFT (GGA-PBE) results for LiZrSb2 after structural relaxation.

a = 3.1882 Å, b = 5.0633 Å, c = 5.8683 Å
α = 90.00°, β = 105.69°, γ = 90.00°
Atoms (fractional coordinates):
Li  0.0000  0.0000  0.0000
Zr  0.8269  0.5000  0.6421
Sb  0.2648  0.0000  0.5150
Sb  0.5454  0.5000  0.0898

**Total DFT energy (no corrections)**: -5.11 eV/atom
**E above lowest polymorph**: 43 meV per atom
**Raw formation energy**: -0.437 eV/atom
**Total magnetization**: 0.00 μB per formula unit
**Calculated volume**: 22.80 Å³ per atom
**N(E_F)**: 1.660 states/eV/cell



(8)
DFT (GGA-PBE) results for LiZr2Sb after structural relaxation.

a = 4.0332 Å, b = 4.3765 Å, c = 9.4705 Å
α = 90.00°, β = 90.00°, γ = 90.00°
Atoms (fractional coordinates):
Li  0.0000  0.0000  0.0000
Li  0.5000  0.5000  0.5000
Zr  0.0000  0.0000  0.5158
Zr  0.0000  0.5000  0.7588
Zr  0.5000  0.0000  0.2588
Zr  0.5000  0.5000  0.0158
Sb  0.0000  0.5000  0.2752
Sb  0.5000  0.0000  0.7752

**Total DFT energy (no corrections)**: -6.04 eV/atom
**Raw formation energy**: -0.256 eV/atom
**Total magnetization**: 0.00 μB per formula unit
**Calculated volume**: 20.90 Å³ per atom
**N(E_F)**: 8.484 states/eV/cell



> Which of these has the lowest total DFT energy (no corrections)?

number 5